# CsNaCd2H6 | Alexandria | PBE | relaxed
# uncorrected energy	-24.043	eV/f.u.
# mass density	3.3	g cm⁻³
data_CsNaCd2H6
_cell_length_a 6.1262
_cell_length_b 6.1262
_cell_length_c 18.1965
_cell_angle_alpha 90.00
_cell_angle_beta 90.00
_cell_angle_gamma 120.00
_space_group_name_H-M_alt 'R -3'
_space_group_IT_number 148
_space_group_name_Hall '-R 3'
loop_
_atom_site_label
_atom_site_fract_x
_atom_site_fract_y
_atom_site_fract_z
Cs1 0.0000 0.0000 0.0000
Na1 0.0000 0.0000 0.5000
Cd1 0.0000 0.0000 0.2406
H1 0.0058 0.4359 0.9100